The following is a DFT calculation (PBE-GGA) of crystalline LiBeCl at its relaxed geometry.

It has space group F-43m (No. 216), with a = 6.308 Å, b = 6.308 Å, c = 6.308 Å, α = 90.00°, β = 90.00° and γ = 90.00°. The asymmetric unit holds Li at (0.000, 0.000, 0.000), Be at (0.250, 0.250, 0.250) and Cl at (0.250, 0.250, 0.750).

As for the total energy: -2.31 eV per atom. The magnetization comes out at 0.00 μB per cell. For the distance to the lowest polymorph of the same formula, the calculation gives 416 meV/atom. Its formation energy (no corrections) is 0.18 eV/atom.